1.
{"formula": "CaDy2Zn2", "functional": "GGA-PBE", "state": "optimized geometry", "cell": [[3.6358, 0.0000, 0.0000], [0.0000, 20.3784, 0.0000], [0.0000, 0.0000, 3.5444]], "species": ["Ca", "Ca", "Dy", "Dy", "Dy", "Dy", "Zn", "Zn", "Zn", "Zn"], "frac_coords": [[0.0000, 0.0000, 0.0000], [0.5000, 0.5000, 0.0000], [0.0000, 0.1749, 0.0000], [0.0000, 0.8251, 0.0000], [0.5000, 0.3251, 0.0000], [0.5000, 0.6749, 0.0000], [0.0000, 0.4045, 0.5000], [0.0000, 0.5955, 0.5000], [0.5000, 0.0955, 0.5000], [0.5000, 0.9045, 0.5000]], "density_g_cm3": 6.3, "formation_energy_ev_per_atom": -0.136, "final_energy_ev_per_atom": -2.89, "total_magnetization_mub_per_fu": 0.7}

=====

2.
{"formula": "CaDy2Zn4", "functional": "GGA-PBE", "state": "optimized geometry", "cell": [[2.4732, 1.4279, 8.1531], [-2.4732, 1.4279, 8.1531], [0.0000, -2.8558, 8.1531]], "species": ["Ca", "Dy", "Dy", "Zn", "Zn", "Zn", "Zn"], "frac_coords": [[0.0000, 0.0000, 0.0000], [0.2417, 0.2417, 0.2417], [0.7583, 0.7583, 0.7583], [0.1215, 0.1215, 0.1215], [0.3971, 0.3971, 0.3971], [0.6029, 0.6029, 0.6029], [0.8785, 0.8785, 0.8785]], "density_g_cm3": 6.0, "formation_energy_ev_per_atom": -0.053, "final_energy_ev_per_atom": -2.38, "total_magnetization_mub_per_fu": 0.0}

=====

3.
{"formula": "CaDyZn3", "functional": "GGA-PBE", "state": "optimized geometry", "cell": [[1.8352, -13.8699, 0.0000], [1.8352, 13.8699, 0.0000], [0.0000, 0.0000, 4.4245]], "species": ["Ca", "Ca", "Dy", "Dy", "Zn", "Zn", "Zn", "Zn", "Zn", "Zn"], "frac_coords": [[0.2063, 0.7937, 0.7500], [0.7937, 0.2063, 0.2500], [0.0689, 0.9311, 0.2500], [0.9311, 0.0689, 0.7500], [0.3356, 0.6644, 0.7500], [0.3858, 0.6142, 0.2500], [0.4773, 0.5227, 0.2500], [0.5227, 0.4773, 0.7500], [0.6142, 0.3858, 0.7500], [0.6644, 0.3356, 0.2500]], "density_g_cm3": 5.9, "formation_energy_ev_per_atom": -0.300, "final_energy_ev_per_atom": -2.39, "total_magnetization_mub_per_fu": 0.0}

=====

4.
{"formula": "Ca2DyZn3", "functional": "GGA-PBE", "state": "optimized geometry", "cell": [[2.5829, -7.6903, 0.0000], [2.5829, 7.6903, 0.0000], [0.0000, 0.0000, 7.2680]], "species": ["Ca", "Ca", "Ca", "Ca", "Dy", "Dy", "Zn", "Zn", "Zn", "Zn", "Zn", "Zn"], "frac_coords": [[0.0000, 0.0000, 0.0000], [0.0000, 0.0000, 0.5000], [0.3336, 0.6664, 0.0000], [0.6664, 0.3336, 0.0000], [0.3338, 0.6662, 0.5000], [0.6662, 0.3338, 0.5000], [0.1696, 0.8304, 0.2666], [0.1696, 0.8304, 0.7334], [0.5000, 0.5000, 0.2630], [0.5000, 0.5000, 0.7370], [0.8304, 0.1696, 0.2666], [0.8304, 0.1696, 0.7334]], "density_g_cm3": 5.0, "formation_energy_ev_per_atom": -0.275, "final_energy_ev_per_atom": -2.35, "polymorph_energy_mev_per_atom": 0.0, "total_magnetization_mub_per_fu": 0.0}